Arrangement i

# BePdPt

A geometry-optimized BePdPt structure (GGA-PBE, the Open Quantum Materials Database).

Output
Symmetry ... No. 107

The structure in POSCAR format:
```
BePdPt
1.0
-2.523 -4.600 1.088
-4.770 -1.499 1.924
2.923 3.016 -3.327
Pd Be Pt
1 1 1
Direct
0.074 0.074 0.000 Pd
0.722 0.722 0.000 Be
0.361 0.361 0.000 Pt
```

=====

Arrangement ii

# BePdPt

A geometry-optimized BePdPt structure (GGA-PBE, the Open Quantum Materials Database).

Output
Symmetry ... No. 216

The structure in POSCAR format:
```
BePdPt
1.0
-2.731 -0.934 2.593
-3.248 -1.779 -1.158
-0.609 -3.720 0.922
Pd Pt Be
1 1 1
Direct
0.250 0.250 0.250 Pd
0.750 0.750 0.750 Pt
0.000 0.000 0.000 Be
```

=====

Arrangement iii

# BePdPt

A geometry-optimized BePdPt structure (GGA-PBE, the Open Quantum Materials Database).

Output
Symmetry ... No. 123

The structure in POSCAR format:
```
BePdPt
1.0
-1.608 1.790 1.378
1.167 -0.790 2.388
6.924 7.038 -1.058
Pt Pd Be
2 2 2
Direct
0.000 0.000 0.355 Pt
0.000 0.000 0.645 Pt
0.500 0.500 0.142 Pd
0.500 0.500 0.858 Pd
0.000 0.000 0.000 Be
0.500 0.500 0.500 Be
```

=====

Stability order, top to bottom: arrangement i, arrangement iii, arrangement ii